No. 1
The following is a DFT calculation (PBE-GGA) of a relaxed CdHg4Se5 crystal.

Cell lengths 4.419, 4.419, 36.116 Å; angles 90.00, 90.00, 120.00 degrees
Positions (direct):
Se 0.667 0.333 0.524
Se 0.667 0.333 0.725
Se 0.667 0.333 0.125
Se 0.333 0.667 0.424
Se 0.333 0.667 0.625
Se 0.667 0.333 0.926
Se 0.667 0.333 0.323
Se 0.333 0.667 0.026
Se 0.333 0.667 0.225
Se 0.333 0.667 0.825
Hg 0.333 0.667 0.901
Hg 0.667 0.333 0.800
Hg 0.667 0.333 0.200
Hg 0.667 0.333 0.399
Hg 0.333 0.667 0.700
Hg 0.667 0.333 0.600
Hg 0.667 0.333 0.001
Hg 0.333 0.667 0.499
Cd 0.333 0.667 0.300
Cd 0.333 0.667 0.101

Properties
calculated volume = 30.5 A^3/atom
calculated total energy = -2.244 eV per atom
ΔE to the lowest computed polymorph = 0.005 eV per atom
formation energy from raw total energies = -0.290 eV/atom
M_tot = 0.00 μB per formula unit
SG = No. 156

=====

No. 2
The following is a DFT calculation (PBE-GGA) of a relaxed CdHg4Se crystal.

Cell lengths 6.067, 6.067, 6.067 Å; angles 60.00, 60.00, 60.00 degrees
Positions (direct):
Hg 0.375 0.874 0.375
Hg 0.375 0.375 0.375
Hg 0.375 0.375 0.874
Hg 0.874 0.375 0.375
Se 0.750 0.750 0.750
Cd 0.000 0.000 0.000

Properties
calculated volume = 26.3 A^3/atom
calculated total energy = -0.677 eV per atom
formation energy from raw total energies = 0.257 eV/atom
M_tot = 0.00 μB per formula unit
SG = No. 216

=====

No. 3
The following is a DFT calculation (PBE-GGA) of a relaxed Cd2HgSe crystal.

Cell lengths 4.244, 4.244, 7.106 Å; angles 72.63, 72.63, 60.00 degrees
Positions (direct):
Se 0.668 0.668 0.997
Cd 0.255 0.255 0.234
Cd 0.079 0.079 0.763
Hg 0.498 0.498 0.506

Properties
calculated volume = 26.0 A^3/atom
calculated total energy = -1.570 eV per atom
ΔE to the lowest computed polymorph = 0.012 eV per atom
formation energy from raw total energies = -0.166 eV/atom
M_tot = 0.00 μB per formula unit
SG = No. 160